Below is a relaxed structure of Nd2TmMg, with properties calculated at the GGA-PBE level.

Cell lengths 3.566, 3.475, 10.398 Å; angles 99.62, 90.00, 90.00 degrees
Fractional positions:
Mg (0.000, 0.071, 0.142)
Nd (0.500, 0.688, 0.375)
Nd (0.500, 0.457, 0.914)
Tm (0.000, 0.310, 0.620)

## Properties
The density of states at the Fermi level comes out at 6.1 states/eV/f.u. The crystal system is orthorhombic. The value obtained for the mass density is 6.3 g cm⁻³. The space-group type is Amm2, No. 38. The total moment comes out at 0.00 μB/f.u. As for the formation enthalpy at 0 K: 92 meV/atom.